First-principles (PBE-GGA) data for an optimized crystal structure of NaCuHg2Te, as listed in Alexandria.

Geometry as CIF:
```
data_NaCuHg2Te
_chemical_formula_sum 'Na1 Cu1 Hg2 Te1'
_cell_length_a 5.443
_cell_length_b 5.905
_cell_length_c 5.443
_cell_angle_alpha 90.00
_cell_angle_beta 90.00
_cell_angle_gamma 90.00
_symmetry_space_group_name_H-M 'P 1'
_symmetry_Int_Tables_number 1
loop_
_symmetry_equiv_pos_as_xyz
'x,y,z'
loop_
_atom_site_label
_atom_site_type_symbol
_atom_site_fract_x
_atom_site_fract_y
_atom_site_fract_z
Hg1 Hg 0.000 0.000 0.500
Hg2 Hg 0.500 0.000 0.000
Na1 Na 0.000 0.000 0.000
Te1 Te 0.000 0.500 0.000
Cu1 Cu 0.500 0.500 0.500
```

## Properties
Its spin magnetization is 0.0 μB per formula unit. As for the uncorrected formation energy: 0.53 eV/atom. The excess energy over the best structure of this formula in the dataset comes out at 658 meV per atom. The density of states at the Fermi level comes out at 2.843 states/eV/f.u. The space-group type is P4/mmm (123).



First-principles (PBE-GGA) data for an optimized crystal structure of TlIn2Br, as listed in Alexandria.

Geometry as CIF:
```
data_TlIn2Br
_chemical_formula_sum 'Tl1 In2 Br1'
_cell_length_a 10.261
_cell_length_b 10.261
_cell_length_c 10.261
_cell_angle_alpha 20.77
_cell_angle_beta 20.77
_cell_angle_gamma 20.77
_symmetry_space_group_name_H-M 'P 1'
_symmetry_Int_Tables_number 1
loop_
_symmetry_equiv_pos_as_xyz
'x,y,z'
loop_
_atom_site_label
_atom_site_type_symbol
_atom_site_fract_x
_atom_site_fract_y
_atom_site_fract_z
In1 In 0.495 0.495 0.495
In2 In 0.005 0.005 0.005
Tl1 Tl 0.250 0.250 0.250
Br1 Br 0.750 0.750 0.750
```

## Properties
Its spin magnetization is 0.0 μB per formula unit. As for the uncorrected formation energy: -0.19 eV/atom. The excess energy over the best structure of this formula in the dataset comes out at 62 meV per atom. The density of states at the Fermi level comes out at 1.882 states/eV/f.u. The space-group type is R-3m (166).



First-principles (PBE-GGA) data for an optimized crystal structure of LiSmMg2Tl4, as listed in Alexandria.

Geometry as CIF:
```
data_LiSmMg2Tl4
_chemical_formula_sum 'Li1 Sm1 Mg2 Tl4'
_cell_length_a 5.149
_cell_length_b 5.149
_cell_length_c 9.166
_cell_angle_alpha 73.69
_cell_angle_beta 73.69
_cell_angle_gamma 60.00
_symmetry_space_group_name_H-M 'P 1'
_symmetry_Int_Tables_number 1
loop_
_symmetry_equiv_pos_as_xyz
'x,y,z'
loop_
_atom_site_label
_atom_site_type_symbol
_atom_site_fract_x
_atom_site_fract_y
_atom_site_fract_z
Tl1 Tl 0.384 0.384 0.849
Tl2 Tl 0.870 0.870 0.390
Tl3 Tl 0.130 0.130 0.610
Tl4 Tl 0.616 0.616 0.151
Sm1 Sm 0.000 0.000 0.000
Li1 Li 0.500 0.500 0.500
Mg1 Mg 0.749 0.749 0.752
Mg2 Mg 0.251 0.251 0.248
```

## Properties
The value obtained for the formation energy is -0.210 eV/atom. Its spin magnetization is 0.0 μB per formula unit. The density of states at the Fermi level comes out at 3.058 states/eV/f.u. The space-group type is R-3m (166).



First-principles (PBE-GGA) data for an optimized crystal structure of Li6Ca2Cd3, as listed in Alexandria.

Geometry as CIF:
```
data_Li6Ca2Cd3
_chemical_formula_sum 'Li6 Ca2 Cd3'
_cell_length_a 4.617
_cell_length_b 8.080
_cell_length_c 8.080
_cell_angle_alpha 120.00
_cell_angle_beta 90.00
_cell_angle_gamma 90.00
_symmetry_space_group_name_H-M 'P 1'
_symmetry_Int_Tables_number 1
loop_
_symmetry_equiv_pos_as_xyz
'x,y,z'
loop_
_atom_site_label
_atom_site_type_symbol
_atom_site_fract_x
_atom_site_fract_y
_atom_site_fract_z
Cd1 Cd 0.500 0.000 0.586
Cd2 Cd 0.500 0.586 0.000
Cd3 Cd 0.500 0.414 0.414
Li1 Li 0.000 0.000 0.793
Li2 Li 0.500 0.000 0.234
Li3 Li 0.500 0.766 0.766
Li4 Li 0.500 0.234 0.000
Li5 Li 0.000 0.793 0.000
Li6 Li 0.000 0.207 0.207
Ca1 Ca 0.000 0.667 0.333
Ca2 Ca 0.000 0.333 0.667
```

## Properties
The value obtained for the formation energy is -0.129 eV/atom. Its spin magnetization is 0.0 μB per formula unit. The density of states at the Fermi level comes out at 6.107 states/eV/f.u. The space-group type is P-62m (189).



First-principles (PBE-GGA) data for an optimized crystal structure of CoCu2Hg2, as listed in Alexandria.

Geometry as CIF:
```
data_CoCu2Hg2
_chemical_formula_sum 'Co2 Cu4 Hg4'
_cell_length_a 6.506
_cell_length_b 6.506
_cell_length_c 3.858
_cell_angle_alpha 90.00
_cell_angle_beta 90.00
_cell_angle_gamma 90.00
_symmetry_space_group_name_H-M 'P 1'
_symmetry_Int_Tables_number 1
loop_
_symmetry_equiv_pos_as_xyz
'x,y,z'
loop_
_atom_site_label
_atom_site_type_symbol
_atom_site_fract_x
_atom_site_fract_y
_atom_site_fract_z
Co1 Co 0.000 0.000 0.000
Co2 Co 0.500 0.500 0.000
Cu1 Cu 0.368 0.868 0.000
Cu2 Cu 0.632 0.132 0.000
Cu3 Cu 0.868 0.632 0.000
Cu4 Cu 0.132 0.368 0.000
Hg1 Hg 0.175 0.675 0.500
Hg2 Hg 0.675 0.825 0.500
Hg3 Hg 0.825 0.325 0.500
Hg4 Hg 0.325 0.175 0.500
```

## Properties
The value obtained for the formation energy is 0.415 eV/atom. Its spin magnetization is 1.8 μB per formula unit. The excess energy over the best structure of this formula in the dataset comes out at 0 meV per atom. The density of states at the Fermi level comes out at 4.446 states/eV/f.u. The space-group type is P4/mbm (127).



First-principles (PBE-GGA) data for an optimized crystal structure of UIrPtO6, as listed in Alexandria.

Geometry as CIF:
```
data_UIrPtO6
_chemical_formula_sum 'U2 Ir2 Pt2 O12'
_cell_length_a 5.264
_cell_length_b 5.264
_cell_length_c 9.237
_cell_angle_alpha 90.00
_cell_angle_beta 90.00
_cell_angle_gamma 120.00
_symmetry_space_group_name_H-M 'P 1'
_symmetry_Int_Tables_number 1
loop_
_symmetry_equiv_pos_as_xyz
'x,y,z'
loop_
_atom_site_label
_atom_site_type_symbol
_atom_site_fract_x
_atom_site_fract_y
_atom_site_fract_z
U1 U 0.333 0.667 0.750
U2 U 0.667 0.333 0.250
O1 O 0.994 0.676 0.378
O2 O 0.994 0.318 0.122
O3 O 0.006 0.324 0.622
O4 O 0.318 0.324 0.878
O5 O 0.324 0.006 0.122
O6 O 0.676 0.682 0.622
O7 O 0.006 0.682 0.878
O8 O 0.318 0.994 0.622
O9 O 0.324 0.318 0.378
O10 O 0.682 0.006 0.378
O11 O 0.676 0.994 0.878
O12 O 0.682 0.676 0.122
Ir1 Ir 0.000 0.000 0.000
Ir2 Ir 0.000 0.000 0.500
Pt1 Pt 0.667 0.333 0.750
Pt2 Pt 0.333 0.667 0.250
```

## Properties
Its spin magnetization is 1.1 μB per formula unit. As for the uncorrected formation energy: -1.50 eV/atom. The density of states at the Fermi level comes out at 5.939 states/eV/f.u. The space-group type is P-31c (163).